Record 1
The following is a PBE-GGA calculation of a geometry-optimized KZn2Au structure, from Alexandria.

It has space group Cmmm (No. 65), with a = 6.128 Å, b = 10.638 Å, c = 2.778 Å, α = 90.00°, β = 90.00° and γ = 90.00°. The distinct sites, in fractional coordinates, are K at (0.000, 0.000, 0.000), Zn at (0.250, 0.250, 0.500) and Au at (0.000, 0.500, 0.000).

For the energy above the most stable polymorph in this dataset, the calculation gives 439 meV/atom. The total magnetic moment comes out at 0.00 μB/atom. Its energy of formation from the pure elements is 21 kJ/mol of atoms.



Record 2
The following is a PBE-GGA calculation of a geometry-optimized K4Zn2Au5 structure, from Alexandria.

It has space group Ibam (No. 72), with a = 9.679 Å, b = 21.980 Å, c = 5.592 Å, α = 90.00°, β = 90.00° and γ = 90.00°. The distinct sites, in fractional coordinates, are K at (0.110, 0.142, 0.000), K at (0.208, 0.448, 0.000), Zn at (0.000, 0.280, 0.250), Au at (0.000, 0.000, 0.250), Au at (0.067, 0.381, 0.500) and Au at (0.214, 0.237, 0.500).

The total magnetic moment comes out at 0.00 μB/atom. Its energy of formation from the pure elements is -19 kJ/mol of atoms.



Record 3
The following is a PBE-GGA calculation of a geometry-optimized K12Zn3Au5 structure, from Alexandria.

It has space group Ia-3d (No. 230), with a = 20.122 Å, b = 20.122 Å, c = 20.122 Å, α = 90.00°, β = 90.00° and γ = 90.00°. The distinct sites, in fractional coordinates, are K at (0.023, 0.068, 0.650), Zn at (0.000, 0.250, 0.125), Au at (0.000, 0.000, 0.000) and Au at (0.000, 0.250, 0.375).

The total magnetic moment comes out at 0.09 μB/atom. Its energy of formation from the pure elements is 2 kJ/mol of atoms.



Record 4
The following is a PBE-GGA calculation of a geometry-optimized K4ZnAu2 structure, from Alexandria.

It has space group R-3m (No. 166, hexagonal axes), with a = 5.6926 Å, b = 5.6926 Å, c = 29.4910 Å, α = 90.00°, β = 90.00° and γ = 120.00°. The distinct sites, in fractional coordinates, are K at (0.0000, 0.0000, 0.1192), K at (0.0000, 0.0000, 0.2928), Zn at (0.0000, 0.0000, 0.5000) and Au at (0.0000, 0.0000, 0.4117).

The total magnetic moment comes out at 0.00 μB/atom. Its energy of formation from the pure elements is -18 kJ/mol of atoms.



Number 2 is which compound? K4Zn2Au5



What is the formula in the second record? K4Zn2Au5